First-principles (GGA-PBE) data for a relaxed structure of LaTaSn2, as listed in Alexandria via LeMat-Bulk.

## Properties
The value obtained for the calculated formation energy is 12 meV/atom. For the total magnetization, the calculation gives 1.7 μB per cell. As for the space-group type: Fm-3m (225).

Cell: 5.192 5.192 5.192 Å, 60.00 60.00 60.00°
Each line ends with the local moment (μB).
Fractional coordinates of all 4 atoms:
1 Sn 0.250 0.250 0.250  -0.01
2 Ta 0.500 0.500 0.500  0.95
3 La 0.000 0.000 0.000  0.11
4 Sn 0.750 0.750 0.750  -0.01